*A*
# HfTe2PtN

A relaxed structure of HfTe2PtN (GGA-PBEsol, Alexandria via LeMat-Bulk).

Values from the calculation:
Magnetic moment: 0.000 μB/f.u.

a = 5.5149 Å, b = 5.5149 Å, c = 3.8203 Å
α = 90.00°, β = 90.00°, γ = 90.00°
Closest atoms and distances in Å follow each position.
Fractional coordinates of all 5 atoms:
Hf (0.0000, 0.0000, 0.0000)  2 N 1.91
Te (0.0000, 0.5000, 0.0000)  2 Hf 2.76
Te (0.5000, 0.0000, 0.0000)  2 Hf 2.76
Pt (0.5000, 0.5000, 0.5000)  8 Te 3.35
N (0.0000, 0.0000, 0.5000)  2 Hf 1.91



*B*
# HfTe2PtN

A relaxed structure of HfTe2PtN (GGA-PBEsol, Alexandria via LeMat-Bulk).

Values from the calculation:
Magnetic moment: 0.000 μB/f.u.

a = 5.4306 Å, b = 5.4306 Å, c = 3.6511 Å
α = 90.00°, β = 90.00°, γ = 90.00°
Closest atoms and distances in Å follow each position.
Fractional coordinates of all 5 atoms:
Hf (0.0000, 0.0000, 0.0000)  8 Te 3.27, 2 Hf 3.65
Te (0.0000, 0.5000, 0.5000)  2 Pt 2.72
Te (0.5000, 0.0000, 0.5000)  2 Pt 2.72
Pt (0.5000, 0.5000, 0.5000)  2 N 1.83
N (0.5000, 0.5000, 0.0000)  2 Pt 1.83



Stability ranking, top entry: *B*; the second entry is 0.065 eV/atom less favorable.



*A*
# HfTiTeN2

A relaxed structure of HfTiTeN2 (GGA-PBEsol, Alexandria via LeMat-Bulk).

Values from the calculation:
Magnetic moment: 0.619 μB/f.u.

a = 4.0894 Å, b = 4.0894 Å, c = 5.6790 Å
α = 90.00°, β = 90.00°, γ = 90.00°
Closest atoms and distances in Å follow each position.
Fractional coordinates of all 5 atoms:
Hf (0.0000, 0.0000, 0.0000)  4 N 2.04
Ti (0.5000, 0.5000, 0.5000)  4 Te 2.89
Te (0.0000, 0.0000, 0.5000)  2 Hf 2.84, 4 Ti 2.89
N (0.0000, 0.5000, 0.0000)  2 Hf 2.04
N (0.5000, 0.0000, 0.0000)  2 Hf 2.04



*B*
# HfTiTeN2

A relaxed structure of HfTiTeN2 (GGA-PBEsol, Alexandria via LeMat-Bulk).

Values from the calculation:
Magnetic moment: 0.000 μB/f.u.

a = 3.9592 Å, b = 3.9592 Å, c = 5.2429 Å
α = 90.00°, β = 90.00°, γ = 90.00°
Closest atoms and distances in Å follow each position.
Fractional coordinates of all 5 atoms:
Hf (0.0000, 0.0000, 0.0000)  4 Te 2.80
Ti (0.5000, 0.5000, 0.5000)  4 N 1.98
Te (0.5000, 0.5000, 0.0000)  2 Ti 2.62, 4 Hf 2.80
N (0.0000, 0.5000, 0.5000)  2 Ti 1.98
N (0.5000, 0.0000, 0.5000)  2 Ti 1.98



Stability ranking, top entry: *B*; the second entry is 0.056 eV/atom less favorable.



*A*
# HfP2O7

A relaxed structure of HfP2O7 (GGA-PBEsol, Alexandria via LeMat-Bulk).

Values from the calculation:
Magnetic moment: 0.000 μB/f.u.

a = 5.0398 Å, b = 7.1193 Å, c = 8.4475 Å
α = 91.71°, β = 94.27°, γ = 105.46°
Closest atoms and distances in Å follow each position.
Fractional coordinates of all 20 atoms:
Hf (0.0000, 0.0000, 0.0000)  6 O 2.04-2.06
Hf (0.5000, 0.5000, 0.5000)  6 O 2.05-2.06
P (0.0032, 0.3664, 0.7396)  4 O 1.52-1.61
P (0.3745, 0.7485, 0.8109)  4 O 1.52-1.61
P (0.6255, 0.2515, 0.1891)  4 O 1.52-1.61
P (0.9968, 0.6336, 0.2604)  4 O 1.52-1.61
O (0.0827, 0.8071, 0.1578)  1 P 1.52
O (0.1726, 0.3290, 0.6055)  1 P 1.53
O (0.1889, 0.8833, 0.8289)  1 P 1.52
O (0.2023, 0.5354, 0.8586)  2 P 1.61
O (0.2412, 0.5611, 0.3220)  1 P 1.52
O (0.3702, 0.1950, 0.0718)  1 P 1.52
O (0.4459, 0.7259, 0.6401)  1 P 1.53
O (0.5541, 0.2741, 0.3599)  1 P 1.53
O (0.6298, 0.8050, 0.9282)  1 P 1.52
O (0.7588, 0.4389, 0.6780)  1 P 1.52
O (0.7977, 0.4646, 0.1414)  2 P 1.61
O (0.8111, 0.1167, 0.1711)  1 P 1.52
O (0.8274, 0.6710, 0.3945)  1 P 1.53
O (0.9173, 0.1929, 0.8422)  1 P 1.52



*B*
# HfP2O7

A relaxed structure of HfP2O7 (GGA-PBEsol, Alexandria via LeMat-Bulk).

Values from the calculation:
Magnetic moment: 0.000 μB/f.u.

a = 5.3802 Å, b = 12.9578 Å, c = 10.1118 Å
α = 90.00°, β = 122.04°, γ = 90.00°
Closest atoms and distances in Å follow each position.
Fractional coordinates of all 40 atoms:
Hf (0.0877, 0.1476, 0.3412)  6 O 2.03-2.06
Hf (0.0877, 0.3524, 0.8412)  6 O 2.03-2.06
Hf (0.9123, 0.6476, 0.1588)  6 O 2.03-2.06
Hf (0.9123, 0.8524, 0.6588)  6 O 2.03-2.06
P (0.3137, 0.6909, 0.5665)  4 O 1.52-1.60
P (0.3137, 0.8091, 0.0665)  4 O 1.52-1.60
P (0.4547, 0.0267, 0.6952)  4 O 1.52-1.60
P (0.4547, 0.4733, 0.1952)  4 O 1.52-1.60
P (0.5453, 0.5267, 0.8048)  4 O 1.52-1.60
P (0.5453, 0.9733, 0.3048)  4 O 1.52-1.60
P (0.6863, 0.1909, 0.9335)  4 O 1.52-1.60
P (0.6863, 0.3091, 0.4335)  4 O 1.52-1.60
O (0.1184, 0.7353, 0.6190)  1 P 1.52
O (0.1184, 0.7647, 0.1190)  1 P 1.52
O (0.1514, 0.6762, 0.3913)  1 P 1.52
O (0.1514, 0.8238, 0.8913)  1 P 1.52
O (0.2229, 0.5470, 0.1815)  1 P 1.52
O (0.2229, 0.9530, 0.6815)  1 P 1.52
O (0.2991, 0.0297, 0.3059)  1 P 1.52
O (0.2991, 0.4703, 0.8059)  1 P 1.52
O (0.3272, 0.1138, 0.5765)  1 P 1.52
O (0.3272, 0.3862, 0.0765)  1 P 1.52
O (0.4026, 0.5765, 0.6346)  2 P 1.60
O (0.4026, 0.9235, 0.1346)  2 P 1.60
O (0.4054, 0.2477, 0.3719)  1 P 1.52
O (0.4054, 0.2523, 0.8719)  1 P 1.52
O (0.5946, 0.7477, 0.1281)  1 P 1.52
O (0.5946, 0.7523, 0.6281)  1 P 1.52
O (0.5974, 0.0765, 0.8654)  2 P 1.60
O (0.5974, 0.4235, 0.3654)  2 P 1.60
O (0.6728, 0.6138, 0.9235)  1 P 1.52
O (0.6728, 0.8862, 0.4235)  1 P 1.52
O (0.7009, 0.5297, 0.1941)  1 P 1.52
O (0.7009, 0.9703, 0.6941)  1 P 1.52
O (0.7771, 0.0470, 0.3185)  1 P 1.52
O (0.7771, 0.4530, 0.8185)  1 P 1.52
O (0.8486, 0.1762, 0.1087)  1 P 1.52
O (0.8486, 0.3238, 0.6087)  1 P 1.52
O (0.8816, 0.2353, 0.8810)  1 P 1.52
O (0.8816, 0.2647, 0.3810)  1 P 1.52



Stability ranking, top entry: *B*; the second entry is 0.020 eV/atom less favorable.



*A*
# Sr2HfO4

A relaxed structure of Sr2HfO4 (GGA-PBEsol, Alexandria via LeMat-Bulk).

Values from the calculation:
Magnetic moment: 0.000 μB/f.u.

a = 6.9554 Å, b = 6.9554 Å, c = 6.9554 Å
α = 145.98°, β = 145.98°, γ = 48.87°
Closest atoms and distances in Å follow each position.
Fractional coordinates of all 7 atoms:
Sr (0.1471, 0.1471, 0.0000)  1 O 2.39
Sr (0.8529, 0.8529, 0.0000)  1 O 2.39
Hf (0.5000, 0.5000, 0.0000)  6 O 2.03-2.08
O (0.0000, 0.5000, 0.5000)  2 Hf 2.03
O (0.3356, 0.3356, 0.0000)  1 Hf 2.08
O (0.5000, 0.0000, 0.5000)  2 Hf 2.03
O (0.6644, 0.6644, 0.0000)  1 Hf 2.08



*B*
# Sr2HfO4

A relaxed structure of Sr2HfO4 (GGA-PBEsol, Alexandria via LeMat-Bulk).

Values from the calculation:
Magnetic moment: 0.000 μB/f.u.

a = 6.0153 Å, b = 10.1704 Å, c = 3.3325 Å
α = 90.00°, β = 90.00°, γ = 90.00°
Closest atoms and distances in Å follow each position.
Fractional coordinates of all 14 atoms:
Sr (0.0668, 0.1793, 0.0000)  6 O 2.46-2.65
Sr (0.4332, 0.6793, 0.0000)  6 O 2.46-2.65
Sr (0.5668, 0.3207, 0.0000)  6 O 2.46-2.65
Sr (0.9332, 0.8207, 0.0000)  6 O 2.46-2.65
Hf (0.0000, 0.5000, 0.5000)  6 O 2.05-2.15
Hf (0.5000, 0.0000, 0.5000)  6 O 2.05-2.15
O (0.1316, 0.6856, 0.5000)  1 Hf 2.05
O (0.2124, 0.4540, 0.0000)  2 Hf 2.15
O (0.2876, 0.9540, 0.0000)  2 Hf 2.15
O (0.3684, 0.1856, 0.5000)  1 Hf 2.05
O (0.6316, 0.8144, 0.5000)  1 Hf 2.05
O (0.7124, 0.0460, 0.0000)  2 Hf 2.15
O (0.7876, 0.5460, 0.0000)  2 Hf 2.15
O (0.8684, 0.3144, 0.5000)  1 Hf 2.05



*C*
# Sr2HfO4

A relaxed structure of Sr2HfO4 (GGA-PBEsol, Alexandria via LeMat-Bulk).

Values from the calculation:
Magnetic moment: 0.000 μB/f.u.

a = 13.5635 Å, b = 13.5635 Å, c = 13.5635 Å
α = 155.86°, β = 155.86°, γ = 34.40°
Closest atoms and distances in Å follow each position.
Fractional coordinates of all 28 atoms:
Sr (0.0498, 0.2998, 0.7500)  3 O 2.44-2.53
Sr (0.2002, 0.4502, 0.7500)  3 O 2.44-2.53
Sr (0.2998, 0.0498, 0.2500)  3 O 2.44-2.53
Sr (0.4502, 0.2002, 0.2500)  3 O 2.44-2.53
Sr (0.5498, 0.7998, 0.7500)  3 O 2.44-2.53
Sr (0.7002, 0.9502, 0.7500)  3 O 2.44-2.53
Sr (0.7998, 0.5498, 0.2500)  3 O 2.44-2.53
Sr (0.9502, 0.7002, 0.2500)  3 O 2.44-2.53
Hf (0.1250, 0.8750, 0.2500)  6 O 2.04-2.09
Hf (0.3750, 0.6250, 0.7500)  6 O 2.04-2.09
Hf (0.6250, 0.3750, 0.2500)  6 O 2.04-2.09
Hf (0.8750, 0.1250, 0.7500)  6 O 2.04-2.09
O (0.0442, 0.7942, 0.2500)  1 Hf 2.09
O (0.0762, 0.8262, 0.6524)  2 Hf 2.04
O (0.1738, 0.3262, 0.2500)  2 Hf 2.04
O (0.2058, 0.9558, 0.2500)  1 Hf 2.09
O (0.2942, 0.5442, 0.7500)  1 Hf 2.09
O (0.3262, 0.5762, 0.1524)  2 Hf 2.04
O (0.4238, 0.0762, 0.7500)  2 Hf 2.04
O (0.4558, 0.7058, 0.7500)  1 Hf 2.09
O (0.5442, 0.2942, 0.2500)  1 Hf 2.09
O (0.5762, 0.9238, 0.2500)  2 Hf 2.04
O (0.6738, 0.4238, 0.8476)  2 Hf 2.04
O (0.7058, 0.4558, 0.2500)  1 Hf 2.09
O (0.7942, 0.0442, 0.7500)  1 Hf 2.09
O (0.8262, 0.6738, 0.7500)  2 Hf 2.04
O (0.9238, 0.1738, 0.3476)  2 Hf 2.04
O (0.9558, 0.2058, 0.7500)  1 Hf 2.09



*D*
# Sr2HfO4

A relaxed structure of Sr2HfO4 (GGA-PBEsol, Alexandria via LeMat-Bulk).

Values from the calculation:
Magnetic moment: 0.001 μB/f.u.

a = 5.7918 Å, b = 5.7918 Å, c = 12.4840 Å
α = 90.00°, β = 90.00°, γ = 90.00°
Closest atoms and distances in Å follow each position.
Fractional coordinates of all 28 atoms:
Sr (0.0146, 0.0146, 0.1480)  4 O 2.40-2.64
Sr (0.0146, 0.4854, 0.6480)  4 O 2.40-2.64
Sr (0.4854, 0.0146, 0.6480)  4 O 2.40-2.64
Sr (0.4854, 0.4854, 0.1480)  4 O 2.40-2.64
Sr (0.5146, 0.5146, 0.8520)  4 O 2.40-2.64
Sr (0.5146, 0.9854, 0.3520)  4 O 2.40-2.64
Sr (0.9854, 0.5146, 0.3520)  4 O 2.40-2.64
Sr (0.9854, 0.9854, 0.8520)  4 O 2.40-2.64
Hf (0.0000, 0.0000, 0.5000)  6 O 2.05-2.08
Hf (0.0000, 0.5000, 0.0000)  6 O 2.05-2.08
Hf (0.5000, 0.0000, 0.0000)  6 O 2.05-2.08
Hf (0.5000, 0.5000, 0.5000)  6 O 2.05-2.08
O (0.0457, 0.0457, 0.6637)  1 Hf 2.08
O (0.0457, 0.4543, 0.1637)  1 Hf 2.08
O (0.2500, 0.2500, 0.4731)  2 Hf 2.08
O (0.2500, 0.2500, 0.9731)  2 Hf 2.08
O (0.2500, 0.7500, 0.0000)  2 Hf 2.05
O (0.2500, 0.7500, 0.5000)  2 Hf 2.05
O (0.4543, 0.0457, 0.1637)  1 Hf 2.08
O (0.4543, 0.4543, 0.6637)  1 Hf 2.08
O (0.5457, 0.5457, 0.3363)  1 Hf 2.08
O (0.5457, 0.9543, 0.8363)  1 Hf 2.08
O (0.7500, 0.2500, 0.0000)  2 Hf 2.05
O (0.7500, 0.2500, 0.5000)  2 Hf 2.05
O (0.7500, 0.7500, 0.0269)  2 Hf 2.08
O (0.7500, 0.7500, 0.5269)  2 Hf 2.08
O (0.9543, 0.5457, 0.8363)  1 Hf 2.08
O (0.9543, 0.9543, 0.3363)  1 Hf 2.08



Stability ranking, top entry: *D*; the second entry is 0.008 eV/atom less favorable.



*A*
# Sr3Hf2O7

A relaxed structure of Sr3Hf2O7 (GGA-PBEsol, Alexandria via LeMat-Bulk).

Values from the calculation:
Magnetic moment: 0.000 μB/f.u.

a = 10.7821 Å, b = 10.7821 Å, c = 10.7821 Å
α = 158.16°, β = 158.16°, γ = 31.09°
Closest atoms and distances in Å follow each position.
Fractional coordinates of all 12 atoms:
Sr (0.0000, 0.0000, 0.0000)  12 O 2.88-2.89
Sr (0.1862, 0.1862, 0.0000)  1 O 2.39
Sr (0.8138, 0.8138, 0.0000)  1 O 2.39
Hf (0.4004, 0.4004, 0.0000)  6 O 2.04-2.07
Hf (0.5996, 0.5996, 0.0000)  6 O 2.04-2.07
O (0.0977, 0.5977, 0.5000)  2 Hf 2.04
O (0.3013, 0.3013, 0.0000)  1 Hf 2.06
O (0.4023, 0.9023, 0.5000)  2 Hf 2.04
O (0.5000, 0.5000, 0.0000)  2 Hf 2.07
O (0.5977, 0.0977, 0.5000)  2 Hf 2.04
O (0.6987, 0.6987, 0.0000)  1 Hf 2.06
O (0.9023, 0.4023, 0.5000)  2 Hf 2.04



*B*
# Sr3Hf2O7

A relaxed structure of Sr3Hf2O7 (GGA-PBEsol, Alexandria via LeMat-Bulk).

Values from the calculation:
Magnetic moment: 0.000 μB/f.u.

a = 10.9582 Å, b = 10.9582 Å, c = 5.6957 Å
α = 90.00°, β = 90.00°, γ = 149.87°
Closest atoms and distances in Å follow each position.
Fractional coordinates of all 24 atoms:
Sr (0.0617, 0.9383, 0.7500)  3 O 2.44-2.52
Sr (0.2500, 0.7500, 0.7500)  8 O 2.60-2.85
Sr (0.4383, 0.5617, 0.7500)  3 O 2.44-2.52
Sr (0.5617, 0.4383, 0.2500)  3 O 2.44-2.52
Sr (0.7500, 0.2500, 0.2500)  8 O 2.60-2.85
Sr (0.9383, 0.0617, 0.2500)  3 O 2.44-2.52
Hf (0.1517, 0.8483, 0.2500)  6 O 2.06-2.08
Hf (0.3483, 0.6517, 0.2500)  6 O 2.06-2.08
Hf (0.6517, 0.3483, 0.7500)  6 O 2.06-2.08
Hf (0.8483, 0.1517, 0.7500)  6 O 2.06-2.08
O (0.0456, 0.3522, 0.0511)  2 Hf 2.06
O (0.0537, 0.9463, 0.2500)  1 Hf 2.07
O (0.1478, 0.4544, 0.5511)  2 Hf 2.06
O (0.2500, 0.7500, 0.2500)  2 Hf 2.08
O (0.3522, 0.0456, 0.5511)  2 Hf 2.06
O (0.4463, 0.5537, 0.2500)  1 Hf 2.07
O (0.4544, 0.1478, 0.0511)  2 Hf 2.06
O (0.5456, 0.8522, 0.9489)  2 Hf 2.06
O (0.5537, 0.4463, 0.7500)  1 Hf 2.07
O (0.6478, 0.9544, 0.4489)  2 Hf 2.06
O (0.7500, 0.2500, 0.7500)  2 Hf 2.08
O (0.8522, 0.5456, 0.4489)  2 Hf 2.06
O (0.9463, 0.0537, 0.7500)  1 Hf 2.07
O (0.9544, 0.6478, 0.9489)  2 Hf 2.06



Stability ranking, top entry: *B*; the second entry is 0.015 eV/atom less favorable.



*A*
# HfZn3O

A relaxed structure of HfZn3O (GGA-PBEsol, Alexandria via LeMat-Bulk).

Values from the calculation:
Magnetic moment: 0.277 μB/f.u.

a = 5.2109 Å, b = 5.2109 Å, c = 5.2109 Å
α = 90.00°, β = 90.00°, γ = 90.00°
Closest atoms and distances in Å follow each position.
Fractional coordinates of all 5 atoms:
Hf (0.0000, 0.0000, 0.0000)  6 Zn 2.61
Zn (0.0000, 0.0000, 0.5000)  2 Hf 2.61
Zn (0.0000, 0.5000, 0.0000)  2 Hf 2.61
Zn (0.5000, 0.0000, 0.0000)  2 Hf 2.61
O (0.5000, 0.5000, 0.5000)  12 Zn 3.68



*B*
# HfZn3O

A relaxed structure of HfZn3O (GGA-PBEsol, Alexandria via LeMat-Bulk).

Values from the calculation:
Magnetic moment: 0.001 μB/f.u.

a = 4.2128 Å, b = 4.2128 Å, c = 4.2128 Å
α = 90.00°, β = 90.00°, γ = 90.00°
Closest atoms and distances in Å follow each position.
Fractional coordinates of all 5 atoms:
Hf (0.0000, 0.0000, 0.0000)  12 Zn 2.98
Zn (0.0000, 0.5000, 0.5000)  2 O 2.11
Zn (0.5000, 0.0000, 0.5000)  2 O 2.11
Zn (0.5000, 0.5000, 0.0000)  2 O 2.11
O (0.5000, 0.5000, 0.5000)  6 Zn 2.11



Stability ranking, top entry: *B*; the second entry is 1.480 eV/atom less favorable.